Material: TaAs2Br
Method: DFT, PBE
State: relaxed

Structure (CIF):
```
data_TaAs2Br
_chemical_formula_sum 'Ta1 As2 Br1'
_cell_length_a 3.4545
_cell_length_b 3.4539
_cell_length_c 6.8617
_cell_angle_alpha 90.00
_cell_angle_beta 90.22
_cell_angle_gamma 90.00
_symmetry_space_group_name_H-M 'P 1 2/m 1'
_symmetry_Int_Tables_number 10
_symmetry_space_group_name_Hall '-P 2y'
loop_
_atom_site_label
_atom_site_type_symbol
_atom_site_fract_x
_atom_site_fract_y
_atom_site_fract_z
Ta1 Ta 0.0000 0.0000 0.0000
As1 As 0.5003 0.5000 0.1902
Br1 Br 0.0000 0.0000 0.5000
```

E_form (uncorrected): -0.09 eV per atom
Energy above the most stable polymorph in this dataset: 164 meV/atom

Material: TaAsBr
Method: DFT, PBE
State: relaxed

Structure (CIF):
```
data_TaAsBr
_chemical_formula_sum 'Ta1 As1 Br1'
_cell_length_a 3.5046
_cell_length_b 3.5046
_cell_length_c 6.6572
_cell_angle_alpha 90.00
_cell_angle_beta 90.00
_cell_angle_gamma 120.00
_symmetry_space_group_name_H-M 'P 3 m 1'
_symmetry_Int_Tables_number 156
_symmetry_space_group_name_Hall 'P 3 -2"'
loop_
_atom_site_label
_atom_site_type_symbol
_atom_site_fract_x
_atom_site_fract_y
_atom_site_fract_z
Ta1 Ta 0.0000 0.0000 0.0000
As1 As 0.6667 0.3333 0.2408
Br1 Br 0.3333 0.6667 0.7241
```

E_form (uncorrected): -0.25 eV per atom
Energy above the most stable polymorph in this dataset: 0 meV/atom

Material: TaAs2Br
Method: DFT, PBE
State: relaxed

Structure (CIF):
```
data_TaAs2Br
_chemical_formula_sum 'Ta2 As4 Br2'
_cell_length_a 5.2064
_cell_length_b 9.8229
_cell_length_c 3.0657
_cell_angle_alpha 90.00
_cell_angle_beta 90.00
_cell_angle_gamma 90.00
_symmetry_space_group_name_H-M 'C m m m'
_symmetry_Int_Tables_number 65
_symmetry_space_group_name_Hall '-C 2 2'
loop_
_atom_site_label
_atom_site_type_symbol
_atom_site_fract_x
_atom_site_fract_y
_atom_site_fract_z
Ta1 Ta 0.0000 0.0000 0.0000
As1 As 0.2500 0.2500 0.5000
Br1 Br 0.0000 0.5000 0.0000
```

E_form (uncorrected): 0.47 eV per atom
Energy above the most stable polymorph in this dataset: 727 meV/atom

Material: TaAsBr2
Method: DFT, PBE
State: relaxed

Structure (CIF):
```
data_TaAsBr2
_chemical_formula_sum 'Ta1 As1 Br2'
_cell_length_a 3.1014
_cell_length_b 3.1014
_cell_length_c 9.7693
_cell_angle_alpha 90.00
_cell_angle_beta 90.00
_cell_angle_gamma 90.00
_symmetry_space_group_name_H-M 'P 4/m m m'
_symmetry_Int_Tables_number 123
_symmetry_space_group_name_Hall '-P 4 2'
loop_
_atom_site_label
_atom_site_type_symbol
_atom_site_fract_x
_atom_site_fract_y
_atom_site_fract_z
Ta1 Ta 0.0000 0.0000 0.0000
As1 As 0.0000 0.0000 0.5000
Br1 Br 0.5000 0.5000 0.1705
```

E_form (uncorrected): 0.25 eV per atom
Energy above the most stable polymorph in this dataset: 616 meV/atom

Material: Ta2As2Br
Method: DFT, PBE
State: relaxed

Structure (CIF):
```
data_Ta2As2Br
_chemical_formula_sum 'Ta4 As4 Br2'
_cell_length_a 4.4972
_cell_length_b 4.4972
_cell_length_c 11.0558
_cell_angle_alpha 90.00
_cell_angle_beta 90.00
_cell_angle_gamma 90.00
_symmetry_space_group_name_H-M 'I 4/m m m'
_symmetry_Int_Tables_number 139
_symmetry_space_group_name_Hall '-I 4 2'
loop_
_atom_site_label
_atom_site_type_symbol
_atom_site_fract_x
_atom_site_fract_y
_atom_site_fract_z
Ta1 Ta 0.0000 0.0000 0.1282
As1 As 0.0000 0.5000 0.2500
Br1 Br 0.0000 0.0000 0.5000
```

E_form (uncorrected): 0.27 eV per atom

Material: TaAsBr
Method: DFT, PBE
State: relaxed

Structure (CIF):
```
data_TaAsBr
_chemical_formula_sum 'Ta2 As2 Br2'
_cell_length_a 3.1551
_cell_length_b 3.1551
_cell_length_c 13.6201
_cell_angle_alpha 90.00
_cell_angle_beta 90.00
_cell_angle_gamma 90.00
_symmetry_space_group_name_H-M 'I 4 m m'
_symmetry_Int_Tables_number 107
_symmetry_space_group_name_Hall 'I 4 -2'
loop_
_atom_site_label
_atom_site_type_symbol
_atom_site_fract_x
_atom_site_fract_y
_atom_site_fract_z
Ta1 Ta 0.0000 0.0000 0.0000
As1 As 0.0000 0.0000 0.3798
Br1 Br 0.0000 0.0000 0.6280
```

E_form (uncorrected): -0.10 eV per atom
Energy above the most stable polymorph in this dataset: 152 meV/atom

Material: TaAs2Br
Method: DFT, PBE
State: relaxed

Structure (CIF):
```
data_TaAs2Br
_chemical_formula_sum 'Ta2 As4 Br2'
_cell_length_a 4.2465
_cell_length_b 4.2465
_cell_length_c 8.3442
_cell_angle_alpha 90.00
_cell_angle_beta 90.00
_cell_angle_gamma 90.00
_symmetry_space_group_name_H-M 'I 4/m m m'
_symmetry_Int_Tables_number 139
_symmetry_space_group_name_Hall '-I 4 2'
loop_
_atom_site_label
_atom_site_type_symbol
_atom_site_fract_x
_atom_site_fract_y
_atom_site_fract_z
Ta1 Ta 0.0000 0.0000 0.0000
As1 As 0.0000 0.5000 0.2500
Br1 Br 0.0000 0.0000 0.5000
```

E_form (uncorrected): 0.48 eV per atom
Energy above the most stable polymorph in this dataset: 738 meV/atom

Material: TaAs2Br
Method: DFT, PBE
State: relaxed

Structure (CIF):
```
data_TaAs2Br
_chemical_formula_sum 'Ta2 As4 Br2'
_cell_length_a 3.2601
_cell_length_b 4.2556
_cell_length_c 15.0000
_cell_angle_alpha 90.00
_cell_angle_beta 90.00
_cell_angle_gamma 90.00
_symmetry_space_group_name_H-M 'I m m 2'
_symmetry_Int_Tables_number 44
_symmetry_space_group_name_Hall 'I 2 -2'
loop_
_atom_site_label
_atom_site_type_symbol
_atom_site_fract_x
_atom_site_fract_y
_atom_site_fract_z
Ta1 Ta 0.0000 0.0000 0.0000
As1 As 0.0000 0.0000 0.5498
As2 As 0.0000 0.5000 0.6482
Br1 Br 0.0000 0.5000 0.3620
```

E_form (uncorrected): -0.04 eV per atom
Energy above the most stable polymorph in this dataset: 212 meV/atom

Material: TaAsBr2
Method: DFT, PBE
State: relaxed

Structure (CIF):
```
data_TaAsBr2
_chemical_formula_sum 'Ta1 As1 Br2'
_cell_length_a 3.1074
_cell_length_b 3.1074
_cell_length_c 10.0646
_cell_angle_alpha 90.00
_cell_angle_beta 90.00
_cell_angle_gamma 90.00
_symmetry_space_group_name_H-M 'P 4 m m'
_symmetry_Int_Tables_number 99
_symmetry_space_group_name_Hall 'P 4 -2'
loop_
_atom_site_label
_atom_site_type_symbol
_atom_site_fract_x
_atom_site_fract_y
_atom_site_fract_z
Ta1 Ta 0.0000 0.0000 0.0000
As1 As 0.5000 0.5000 0.1731
Br1 Br 0.0000 0.0000 0.4994
Br2 Br 0.5000 0.5000 0.8278
```

E_form (uncorrected): -0.01 eV per atom
Energy above the most stable polymorph in this dataset: 357 meV/atom

Material: TaAsBr2
Method: DFT, PBE
State: relaxed

Structure (CIF):
```
data_TaAsBr2
_chemical_formula_sum 'Ta1 As1 Br2'
_cell_length_a 3.4815
_cell_length_b 3.4815
_cell_length_c 8.2540
_cell_angle_alpha 90.00
_cell_angle_beta 90.00
_cell_angle_gamma 90.00
_symmetry_space_group_name_H-M 'P 4 m m'
_symmetry_Int_Tables_number 99
_symmetry_space_group_name_Hall 'P 4 -2'
loop_
_atom_site_label
_atom_site_type_symbol
_atom_site_fract_x
_atom_site_fract_y
_atom_site_fract_z
Ta1 Ta 0.0000 0.0000 0.0000
As1 As 0.5000 0.5000 0.1259
Br1 Br 0.0000 0.0000 0.3348
Br2 Br 0.5000 0.5000 0.7591
```

E_form (uncorrected): 0.01 eV per atom
Energy above the most stable polymorph in this dataset: 378 meV/atom

Material: TaAs2Br
Method: DFT, PBE
State: relaxed

Structure (CIF):
```
data_TaAs2Br
_chemical_formula_sum 'Ta1 As2 Br1'
_cell_length_a 3.2540
_cell_length_b 4.5761
_cell_length_c 5.0452
_cell_angle_alpha 90.00
_cell_angle_beta 90.00
_cell_angle_gamma 90.00
_symmetry_space_group_name_H-M 'P m m m'
_symmetry_Int_Tables_number 47
_symmetry_space_group_name_Hall '-P 2 2'
loop_
_atom_site_label
_atom_site_type_symbol
_atom_site_fract_x
_atom_site_fract_y
_atom_site_fract_z
Ta1 Ta 0.0000 0.0000 0.0000
As1 As 0.0000 0.5000 0.5000
As2 As 0.5000 0.0000 0.5000
Br1 Br 0.5000 0.5000 0.0000
```

E_form (uncorrected): 0.57 eV per atom
Energy above the most stable polymorph in this dataset: 828 meV/atom

Material: TaAsBr2
Method: DFT, PBE
State: relaxed

Structure (CIF):
```
data_TaAsBr2
_chemical_formula_sum 'Ta1 As1 Br2'
_cell_length_a 4.9434
_cell_length_b 4.9434
_cell_length_c 3.2830
_cell_angle_alpha 90.00
_cell_angle_beta 90.00
_cell_angle_gamma 90.00
_symmetry_space_group_name_H-M 'P 4/m m m'
_symmetry_Int_Tables_number 123
_symmetry_space_group_name_Hall '-P 4 2'
loop_
_atom_site_label
_atom_site_type_symbol
_atom_site_fract_x
_atom_site_fract_y
_atom_site_fract_z
Ta1 Ta 0.0000 0.0000 0.0000
As1 As 0.5000 0.5000 0.0000
Br1 Br 0.0000 0.5000 0.5000
```

E_form (uncorrected): 0.86 eV per atom
Energy above the most stable polymorph in this dataset: 1228 meV/atom